Record 1
VASP calculation (PBE) on a geometry-optimized PuTcNi4 structure. Values from VASP.

SG: F-43m (216)
Uncorrected energy (eV/atom): -8.0029
Fermi-level density of states (states/eV/atom): 1.9782

```
&SYSTEM
  ibrav = 0, nat = 6, ntyp = 3
/
ATOMIC_SPECIES
Pu 244.00 Pu.upf
Tc 98.00 Tc.upf
Ni 58.69 Ni.upf
ATOMIC_POSITIONS crystal
Pu 0.0000 0.0000 0.0000
Tc 0.7500 0.7500 0.7500
Ni 0.3755 0.3755 0.3755
Ni 0.3755 0.3755 0.8734
Ni 0.3755 0.8734 0.3755
Ni 0.8734 0.3755 0.3755
CELL_PARAMETERS angstrom
0.0000 3.4449 3.4449
3.4449 0.0000 3.4449
3.4449 3.4449 0.0000
```

=====

Record 2
VASP calculation (PBE) on a geometry-optimized In2SiO5 structure. Values from VASP.

SG: Pnnm (58)
Formation energy without anion corrections (meV/atom): -1984
Fermi-level density of states (states/eV/atom): 0.0000

```
&SYSTEM
  ibrav = 0, nat = 32, ntyp = 3
/
ATOMIC_SPECIES
In 114.82 In.upf
Si 28.09 Si.upf
O 16.00 O.upf
ATOMIC_POSITIONS crystal
In 0.0000 0.0000 0.2422
In 0.0000 0.0000 0.7578
In 0.1411 0.3609 0.0000
In 0.3589 0.8609 0.5000
In 0.5000 0.5000 0.2578
In 0.5000 0.5000 0.7422
In 0.6411 0.1391 0.5000
In 0.8589 0.6391 0.0000
Si 0.2439 0.7416 0.0000
Si 0.2561 0.2416 0.5000
Si 0.7439 0.7584 0.5000
Si 0.7561 0.2584 0.0000
O 0.0889 0.1421 0.5000
O 0.0975 0.1306 0.0000
O 0.1106 0.6041 0.0000
O 0.2252 0.8494 0.2139
O 0.2252 0.8494 0.7861
O 0.2748 0.3494 0.2861
O 0.2748 0.3494 0.7139
O 0.3894 0.1041 0.5000
O 0.4025 0.6306 0.5000
O 0.4111 0.6421 0.0000
O 0.5889 0.3579 0.0000
O 0.5975 0.3694 0.5000
O 0.6106 0.8959 0.5000
O 0.7252 0.6506 0.2861
O 0.7252 0.6506 0.7139
O 0.7748 0.1506 0.2139
O 0.7748 0.1506 0.7861
O 0.8894 0.3959 0.0000
O 0.9025 0.8694 0.0000
O 0.9111 0.8579 0.5000
CELL_PARAMETERS angstrom
8.5948 0.0000 0.0000
0.0000 8.7105 0.0000
0.0000 0.0000 6.3416
```

=====

Record 3
VASP calculation (PBE) on a geometry-optimized Pm3Y6TmSc2 structure. Values from VASP.

SG: C2/m (12)
Uncorrected energy (eV/atom): -5.8043
Fermi-level density of states (states/eV/atom): 1.5599

```
&SYSTEM
  ibrav = 0, nat = 12, ntyp = 4
/
ATOMIC_SPECIES
Pm 145.00 Pm.upf
Y 88.91 Y.upf
Tm 168.93 Tm.upf
Sc 44.96 Sc.upf
ATOMIC_POSITIONS crystal
Pm 0.0000 0.0000 0.0000
Pm 0.3332 0.6668 0.0000
Pm 0.6668 0.3332 0.0000
Y 0.0837 0.4193 0.2587
Y 0.2450 0.2450 0.7413
Y 0.4193 0.0837 0.2587
Y 0.5807 0.9163 0.7413
Y 0.7550 0.7550 0.2587
Y 0.9163 0.5807 0.7413
Tm 0.5000 0.5000 0.5000
Sc 0.1667 0.8333 0.5000
Sc 0.8333 0.1667 0.5000
CELL_PARAMETERS angstrom
3.0698 -5.3157 0.0000
3.0698 5.3157 0.0000
-2.0453 0.0000 11.4893
```